Entry 1:
# PBE Na2AlWI, optimized geometry
# V ... 163.50 Å³/cell
# Mass density ... 3.90 g/cm³
# Formation energy from raw total energies ... 1.29 eV/atom
data_Na2AlWI
_chemical_formula_sum 'Na2 Al1 W1 I1'
_space_group_name_H-M_alt 'P 4/m m m'
_space_group_IT_number 123
_space_group_name_Hall '-P 4 2'
_cell_length_a 5.593
_cell_length_b 5.593
_cell_length_c 5.226
_cell_angle_alpha 90.00
_cell_angle_beta 90.00
_cell_angle_gamma 90.00
loop_
_atom_site_label
_atom_site_type_symbol
_atom_site_fract_x
_atom_site_fract_y
_atom_site_fract_z
Na1 Na 0.000 0.500 0.000
Al1 Al 0.000 0.000 0.500
W1 W 0.500 0.500 0.500
I1 I 0.500 0.500 0.000

Entry 2:
# PBE NaYAlI2, optimized geometry
# V ... 242.89 Å³/cell
# Mass density ... 2.68 g/cm³
# Formation energy from raw total energies ... 0.04 eV/atom
data_NaYAlI2
_chemical_formula_sum 'Na1 Y1 Al1 I2'
_space_group_name_H-M_alt 'P 4/m m m'
_space_group_IT_number 123
_space_group_name_Hall '-P 4 2'
_cell_length_a 5.890
_cell_length_b 5.890
_cell_length_c 7.001
_cell_angle_alpha 90.00
_cell_angle_beta 90.00
_cell_angle_gamma 90.00
loop_
_atom_site_label
_atom_site_type_symbol
_atom_site_fract_x
_atom_site_fract_y
_atom_site_fract_z
Na1 Na 0.000 0.000 0.000
Y1 Y 0.000 0.000 0.500
Al1 Al 0.500 0.500 0.000
I1 I 0.000 0.500 0.500

Entry 3:
# PBE NbAl3I, optimized geometry
# V ... 147.85 Å³/cell
# Mass density ... 3.38 g/cm³
# Energy above the lowest structure with this stoichiometry ... 0 meV/atom
# Formation energy from raw total energies ... 0.82 eV/atom
data_NbAl3I
_chemical_formula_sum 'Nb1 Al3 I1'
_space_group_name_H-M_alt 'P m -3 m'
_space_group_IT_number 221
_space_group_name_Hall '-P 4 2 3'
_cell_length_a 5.288
_cell_length_b 5.288
_cell_length_c 5.288
_cell_angle_alpha 90.00
_cell_angle_beta 90.00
_cell_angle_gamma 90.00
loop_
_atom_site_label
_atom_site_type_symbol
_atom_site_fract_x
_atom_site_fract_y
_atom_site_fract_z
Nb1 Nb 0.000 0.000 0.000
Al1 Al 0.000 0.000 0.500
I1 I 0.500 0.500 0.500

Entry 4:
# PBE Nb3AlI, optimized geometry
# V ... 114.02 Å³/cell
# Mass density ... 6.30 g/cm³
# Energy above the lowest structure with this stoichiometry ... 0 meV/atom
# Formation energy from raw total energies ... 1.33 eV/atom
data_Nb3AlI
_chemical_formula_sum 'Nb3 Al1 I1'
_space_group_name_H-M_alt 'P m -3 m'
_space_group_IT_number 221
_space_group_name_Hall '-P 4 2 3'
_cell_length_a 4.849
_cell_length_b 4.849
_cell_length_c 4.849
_cell_angle_alpha 90.00
_cell_angle_beta 90.00
_cell_angle_gamma 90.00
loop_
_atom_site_label
_atom_site_type_symbol
_atom_site_fract_x
_atom_site_fract_y
_atom_site_fract_z
Nb1 Nb 0.000 0.000 0.500
Al1 Al 0.000 0.000 0.000
I1 I 0.500 0.500 0.500

Entry 5:
# PBE Nb3AlI, optimized geometry
# V ... 124.19 Å³/cell
# Mass density ... 5.78 g/cm³
# Energy above the lowest structure with this stoichiometry ... 269 meV/atom
# Formation energy from raw total energies ... 1.60 eV/atom
data_Nb3AlI
_chemical_formula_sum 'Nb3 Al1 I1'
_space_group_name_H-M_alt 'P m -3 m'
_space_group_IT_number 221
_space_group_name_Hall '-P 4 2 3'
_cell_length_a 4.989
_cell_length_b 4.989
_cell_length_c 4.989
_cell_angle_alpha 90.00
_cell_angle_beta 90.00
_cell_angle_gamma 90.00
loop_
_atom_site_label
_atom_site_type_symbol
_atom_site_fract_x
_atom_site_fract_y
_atom_site_fract_z
Nb1 Nb 0.000 0.000 0.500
Al1 Al 0.500 0.500 0.500
I1 I 0.000 0.000 0.000

Entry 6:
# PBE NbAlI3, optimized geometry
# V ... 172.30 Å³/cell
# Mass density ... 4.82 g/cm³
# Energy above the lowest structure with this stoichiometry ... 472 meV/atom
# Formation energy from raw total energies ... 0.68 eV/atom
data_NbAlI3
_chemical_formula_sum 'Nb1 Al1 I3'
_space_group_name_H-M_alt 'P m -3 m'
_space_group_IT_number 221
_space_group_name_Hall '-P 4 2 3'
_cell_length_a 5.565
_cell_length_b 5.565
_cell_length_c 5.565
_cell_angle_alpha 90.00
_cell_angle_beta 90.00
_cell_angle_gamma 90.00
loop_
_atom_site_label
_atom_site_type_symbol
_atom_site_fract_x
_atom_site_fract_y
_atom_site_fract_z
Nb1 Nb 0.000 0.000 0.000
Al1 Al 0.500 0.500 0.500
I1 I 0.000 0.500 0.500

Entry 7:
# PBE NbAlI3, optimized geometry
# V ... 190.96 Å³/cell
# Mass density ... 4.35 g/cm³
# Energy above the lowest structure with this stoichiometry ... 0 meV/atom
# Formation energy from raw total energies ... 0.21 eV/atom
data_NbAlI3
_chemical_formula_sum 'Nb1 Al1 I3'
_space_group_name_H-M_alt 'P m -3 m'
_space_group_IT_number 221
_space_group_name_Hall '-P 4 2 3'
_cell_length_a 5.759
_cell_length_b 5.759
_cell_length_c 5.759
_cell_angle_alpha 90.00
_cell_angle_beta 90.00
_cell_angle_gamma 90.00
loop_
_atom_site_label
_atom_site_type_symbol
_atom_site_fract_x
_atom_site_fract_y
_atom_site_fract_z
Nb1 Nb 0.000 0.000 0.000
Al1 Al 0.500 0.500 0.500
I1 I 0.000 0.000 0.500

Entry 8:
# PBE NbAlI2, optimized geometry
# V ... 551.08 Å³/cell
# Mass density ... 4.50 g/cm³
# Energy above the lowest structure with this stoichiometry ... 0 meV/atom
# Formation energy from raw total energies ... 0.29 eV/atom
data_NbAlI2
_chemical_formula_sum 'Nb4 Al4 I8'
_space_group_name_H-M_alt 'I -4 2 d'
_space_group_IT_number 122
_space_group_name_Hall 'I -4 2bw'
_cell_length_a 10.115
_cell_length_b 10.115
_cell_length_c 5.386
_cell_angle_alpha 90.00
_cell_angle_beta 90.00
_cell_angle_gamma 90.00
loop_
_atom_site_label
_atom_site_type_symbol
_atom_site_fract_x
_atom_site_fract_y
_atom_site_fract_z
Nb1 Nb 0.000 0.000 0.000
Al1 Al 0.000 0.000 0.500
I1 I 0.101 0.250 0.125

Entry 9:
# PBE Nb2AlI, optimized geometry
# V ... 334.99 Å³/cell
# Mass density ... 6.74 g/cm³
# Energy above the lowest structure with this stoichiometry ... 160 meV/atom
# Formation energy from raw total energies ... 0.60 eV/atom
data_Nb2AlI
_chemical_formula_sum 'Nb8 Al4 I4'
_space_group_name_H-M_alt 'I -4 2 d'
_space_group_IT_number 122
_space_group_name_Hall 'I -4 2bw'
_cell_length_a 4.130
_cell_length_b 4.130
_cell_length_c 19.642
_cell_angle_alpha 90.00
_cell_angle_beta 90.00
_cell_angle_gamma 90.00
loop_
_atom_site_label
_atom_site_type_symbol
_atom_site_fract_x
_atom_site_fract_y
_atom_site_fract_z
Nb1 Nb 0.241 0.250 0.125
Al1 Al 0.000 0.000 0.000
I1 I 0.000 0.000 0.500

Entry 10:
# PBE Nb2AlI, optimized geometry
# V ... 303.79 Å³/cell
# Mass density ... 7.43 g/cm³
# Energy above the lowest structure with this stoichiometry ... 0 meV/atom
# Formation energy from raw total energies ... 0.44 eV/atom
data_Nb2AlI
_chemical_formula_sum 'Nb8 Al4 I4'
_space_group_name_H-M_alt 'F m -3 m'
_space_group_IT_number 225
_space_group_name_Hall '-F 4 2 3'
_cell_length_a 6.722
_cell_length_b 6.722
_cell_length_c 6.722
_cell_angle_alpha 90.00
_cell_angle_beta 90.00
_cell_angle_gamma 90.00
loop_
_atom_site_label
_atom_site_type_symbol
_atom_site_fract_x
_atom_site_fract_y
_atom_site_fract_z
Nb1 Nb 0.250 0.250 0.250
Al1 Al 0.000 0.000 0.000
I1 I 0.000 0.000 0.500

Entry 11:
# PBE NbAlI2, optimized geometry
# V ... 363.03 Å³/cell
# Mass density ... 6.84 g/cm³
# Energy above the lowest structure with this stoichiometry ... 263 meV/atom
# Formation energy from raw total energies ... 0.55 eV/atom
data_NbAlI2
_chemical_formula_sum 'Nb4 Al4 I8'
_space_group_name_H-M_alt 'F m -3 m'
_space_group_IT_number 225
_space_group_name_Hall '-F 4 2 3'
_cell_length_a 7.134
_cell_length_b 7.134
_cell_length_c 7.134
_cell_angle_alpha 90.00
_cell_angle_beta 90.00
_cell_angle_gamma 90.00
loop_
_atom_site_label
_atom_site_type_symbol
_atom_site_fract_x
_atom_site_fract_y
_atom_site_fract_z
Nb1 Nb 0.000 0.000 0.000
Al1 Al 0.000 0.000 0.500
I1 I 0.250 0.250 0.250

Entry 12:
# PBE NbAlSe2I, optimized geometry
# V ... 127.15 Å³/cell
# Mass density ... 5.29 g/cm³
# Formation energy from raw total energies ... 0.46 eV/atom
data_NbAlSe2I
_chemical_formula_sum 'Nb1 Al1 Se2 I1'
_space_group_name_H-M_alt 'P 4/m m m'
_space_group_IT_number 123
_space_group_name_Hall '-P 4 2'
_cell_length_a 4.869
_cell_length_b 4.869
_cell_length_c 5.363
_cell_angle_alpha 90.00
_cell_angle_beta 90.00
_cell_angle_gamma 90.00
loop_
_atom_site_label
_atom_site_type_symbol
_atom_site_fract_x
_atom_site_fract_y
_atom_site_fract_z
Nb1 Nb 0.000 0.000 0.000
Al1 Al 0.500 0.500 0.500
Se1 Se 0.000 0.500 0.500
I1 I 0.500 0.500 0.000

Entry 13:
# PBE NbAlSi2I, optimized geometry
# V ... 131.27 Å³/cell
# Mass density ... 3.83 g/cm³
# Formation energy from raw total energies ... 1.97 eV/atom
data_NbAlSi2I
_chemical_formula_sum 'Nb1 Al1 Si2 I1'
_space_group_name_H-M_alt 'P 4/m m m'
_space_group_IT_number 123
_space_group_name_Hall '-P 4 2'
_cell_length_a 5.084
_cell_length_b 5.084
_cell_length_c 5.079
_cell_angle_alpha 90.00
_cell_angle_beta 90.00
_cell_angle_gamma 90.00
loop_
_atom_site_label
_atom_site_type_symbol
_atom_site_fract_x
_atom_site_fract_y
_atom_site_fract_z
Nb1 Nb 0.000 0.000 0.000
Al1 Al 0.500 0.500 0.000
Si1 Si 0.000 0.500 0.500
I1 I 0.500 0.500 0.500

Entry 14:
# PBE Ta2NbAlI, optimized geometry
# V ... 125.52 Å³/cell
# Mass density ... 8.05 g/cm³
# Formation energy from raw total energies ... 1.42 eV/atom
data_Ta2NbAlI
_chemical_formula_sum 'Ta2 Nb1 Al1 I1'
_space_group_name_H-M_alt 'P 4/m m m'
_space_group_IT_number 123
_space_group_name_Hall '-P 4 2'
_cell_length_a 4.982
_cell_length_b 4.982
_cell_length_c 5.056
_cell_angle_alpha 90.00
_cell_angle_beta 90.00
_cell_angle_gamma 90.00
loop_
_atom_site_label
_atom_site_type_symbol
_atom_site_fract_x
_atom_site_fract_y
_atom_site_fract_z
Ta1 Ta 0.000 0.500 0.000
Nb1 Nb 0.000 0.000 0.000
Al1 Al 0.000 0.000 0.500
I1 I 0.500 0.500 0.500

Entry 15:
# PBE NbAlTe2I, optimized geometry
# V ... 171.74 Å³/cell
# Mass density ... 4.85 g/cm³
# Energy above the lowest structure with this stoichiometry ... 0 meV/atom
# Formation energy from raw total energies ... 0.22 eV/atom
data_NbAlTe2I
_chemical_formula_sum 'Nb1 Al1 Te2 I1'
_space_group_name_H-M_alt 'P 4/m m m'
_space_group_IT_number 123
_space_group_name_Hall '-P 4 2'
_cell_length_a 5.424
_cell_length_b 5.424
_cell_length_c 5.838
_cell_angle_alpha 90.00
_cell_angle_beta 90.00
_cell_angle_gamma 90.00
loop_
_atom_site_label
_atom_site_type_symbol
_atom_site_fract_x
_atom_site_fract_y
_atom_site_fract_z
Nb1 Nb 0.000 0.000 0.000
Al1 Al 0.500 0.500 0.500
Te1 Te 0.000 0.500 0.000
I1 I 0.000 0.000 0.500

Entry 16:
# PBE NbAlTe2I, optimized geometry
# V ... 150.53 Å³/cell
# Mass density ... 5.54 g/cm³
# Energy above the lowest structure with this stoichiometry ... 471 meV/atom
# Formation energy from raw total energies ... 0.69 eV/atom
data_NbAlTe2I
_chemical_formula_sum 'Nb1 Al1 Te2 I1'
_space_group_name_H-M_alt 'P 4/m m m'
_space_group_IT_number 123
_space_group_name_Hall '-P 4 2'
_cell_length_a 5.316
_cell_length_b 5.316
_cell_length_c 5.327
_cell_angle_alpha 90.00
_cell_angle_beta 90.00
_cell_angle_gamma 90.00
loop_
_atom_site_label
_atom_site_type_symbol
_atom_site_fract_x
_atom_site_fract_y
_atom_site_fract_z
Nb1 Nb 0.000 0.000 0.000
Al1 Al 0.500 0.500 0.500
Te1 Te 0.000 0.500 0.500
I1 I 0.500 0.500 0.000

Entry 17:
# PBE NbAl2TlI, optimized geometry
# V ... 179.53 Å³/cell
# Mass density ... 4.42 g/cm³
# Formation energy from raw total energies ... 1.60 eV/atom
data_NbAl2TlI
_chemical_formula_sum 'Nb1 Al2 Tl1 I1'
_space_group_name_H-M_alt 'P 4/m m m'
_space_group_IT_number 123
_space_group_name_Hall '-P 4 2'
_cell_length_a 5.458
_cell_length_b 5.458
_cell_length_c 6.026
_cell_angle_alpha 90.00
_cell_angle_beta 90.00
_cell_angle_gamma 90.00
loop_
_atom_site_label
_atom_site_type_symbol
_atom_site_fract_x
_atom_site_fract_y
_atom_site_fract_z
Nb1 Nb 0.000 0.000 0.000
Al1 Al 0.000 0.500 0.500
Tl1 Tl 0.500 0.500 0.000
I1 I 0.500 0.500 0.500

Entry 18:
# PBE Nb2AlVI, optimized geometry
# V ... 112.27 Å³/cell
# Mass density ... 5.78 g/cm³
# Formation energy from raw total energies ... 1.24 eV/atom
data_Nb2AlVI
_chemical_formula_sum 'Nb2 Al1 V1 I1'
_space_group_name_H-M_alt 'P 4/m m m'
_space_group_IT_number 123
_space_group_name_Hall '-P 4 2'
_cell_length_a 4.789
_cell_length_b 4.789
_cell_length_c 4.896
_cell_angle_alpha 90.00
_cell_angle_beta 90.00
_cell_angle_gamma 90.00
loop_
_atom_site_label
_atom_site_type_symbol
_atom_site_fract_x
_atom_site_fract_y
_atom_site_fract_z
Nb1 Nb 0.000 0.500 0.000
Al1 Al 0.000 0.000 0.500
V1 V 0.500 0.500 0.000
I1 I 0.500 0.500 0.500

Entry 19:
# PBE NbAl2VI, optimized geometry
# V ... 116.43 Å³/cell
# Mass density ... 4.63 g/cm³
# Formation energy from raw total energies ... 0.74 eV/atom
data_NbAl2VI
_chemical_formula_sum 'Nb1 Al2 V1 I1'
_space_group_name_H-M_alt 'P 4/m m m'
_space_group_IT_number 123
_space_group_name_Hall '-P 4 2'
_cell_length_a 5.049
_cell_length_b 5.049
_cell_length_c 4.567
_cell_angle_alpha 90.00
_cell_angle_beta 90.00
_cell_angle_gamma 90.00
loop_
_atom_site_label
_atom_site_type_symbol
_atom_site_fract_x
_atom_site_fract_y
_atom_site_fract_z
Nb1 Nb 0.000 0.000 0.000
Al1 Al 0.000 0.500 0.500
V1 V 0.000 0.000 0.500
I1 I 0.500 0.500 0.000

Entry 20:
# PBE NbAl2ZnI, optimized geometry
# V ... 128.19 Å³/cell
# Mass density ... 4.39 g/cm³
# Formation energy from raw total energies ... 1.03 eV/atom
data_NbAl2ZnI
_chemical_formula_sum 'Nb1 Al2 Zn1 I1'
_space_group_name_H-M_alt 'P 4/m m m'
_space_group_IT_number 123
_space_group_name_Hall '-P 4 2'
_cell_length_a 4.673
_cell_length_b 4.673
_cell_length_c 5.871
_cell_angle_alpha 90.00
_cell_angle_beta 90.00
_cell_angle_gamma 90.00
loop_
_atom_site_label
_atom_site_type_symbol
_atom_site_fract_x
_atom_site_fract_y
_atom_site_fract_z
Nb1 Nb 0.000 0.000 0.000
Al1 Al 0.000 0.500 0.500
Zn1 Zn 0.500 0.500 0.500
I1 I 0.500 0.500 0.000